{"formula": "CsNdCdS3", "functional": "GGA-PBE", "state": "optimized geometry", "space_group": "P2_1/m, No. 11", "total_energy_ev_per_atom": -4.544, "lattice": [[8.7802, 0.0000, 0.0000], [0.0000, 4.2750, 0.0000], [-3.7398, 0.0000, 10.1599]], "species": ["Cs", "Cs", "Nd", "Nd", "Cd", "Cd", "S", "S", "S", "S", "S", "S"], "fractional_positions": [[0.2385, 0.2500, 0.2234], [0.7615, 0.7500, 0.7766], [0.1852, 0.7500, 0.6300], [0.8148, 0.2500, 0.3700], [0.4168, 0.2500, 0.8873], [0.5832, 0.7500, 0.1127], [0.0278, 0.7500, 0.3621], [0.2798, 0.7500, 0.9371], [0.4123, 0.2500, 0.6543], [0.5877, 0.7500, 0.3457], [0.7202, 0.2500, 0.0629], [0.9722, 0.2500, 0.6379]]}